(1)
{
  "formula": "B3C2",
  "functional": "PBE",
  "state": "relaxed",
  "cell": [[4.380, -1.334, 0.000], [4.380, 1.334, 0.000], [-2.900, 0.000, 6.208]],
  "species": ["B", "B", "B", "B", "B", "B", "C", "C", "C", "C"],
  "frac_coords": [[0.000, 0.000, 0.000], [0.000, 0.000, 0.424], [0.199, 0.199, 0.918], [0.236, 0.236, 0.199], [0.373, 0.373, 0.697], [0.582, 0.582, 0.729], [0.400, 0.400, 0.958], [0.597, 0.597, 0.506], [0.785, 0.785, 0.549], [0.799, 0.799, 0.331]],
  "ef_mev_per_atom": 418,
  "final_energy_ev_per_fu": -36.4,
  "sg": "No. 8",
  "density_g_cm3": 2.59,
  "crystal_system": "monoclinic"
}



(2)
{
  "formula": "BC",
  "functional": "PBE",
  "state": "relaxed",
  "cell": [[4.610, 0.000, 0.000], [0.815, 4.565, 0.000], [1.561, 2.037, 3.866]],
  "species": ["B", "B", "B", "B", "B", "B", "C", "C", "C", "C", "C", "C"],
  "frac_coords": [[0.000, 0.000, 0.000], [0.004, 0.612, 0.623], [0.013, 0.252, 0.354], [0.441, 0.631, 0.177], [0.467, 0.972, 0.482], [0.739, 0.903, 0.769], [0.361, 0.316, 0.173], [0.362, 0.625, 0.543], [0.365, 0.988, 0.858], [0.475, 0.315, 0.822], [0.840, 0.282, 0.707], [0.852, 0.960, 0.373]],
  "ef_mev_per_atom": 309,
  "final_energy_ev_per_fu": -15.3,
  "sg": "No. 1",
  "density_g_cm3": 2.79,
  "crystal_system": "triclinic"
}



(3)
{
  "formula": "B3C5",
  "functional": "PBE",
  "state": "relaxed",
  "cell": [[2.460, 0.000, 0.000], [0.000, 5.160, 0.000], [0.000, 0.000, 4.069]],
  "species": ["B", "B", "B", "C", "C", "C", "C", "C"],
  "frac_coords": [[0.000, 0.000, 0.000], [0.000, 0.500, 0.038], [0.500, 0.500, 0.711], [0.000, 0.243, 0.273], [0.000, 0.757, 0.273], [0.500, 0.000, 0.718], [0.500, 0.239, 0.489], [0.500, 0.761, 0.489]],
  "ef_mev_per_atom": 333,
  "final_energy_ev_per_fu": -63.5,
  "sg": "No. 25",
  "density_g_cm3": 2.97,
  "crystal_system": "orthorhombic"
}



(4)
{
  "formula": "BC",
  "functional": "PBE",
  "state": "relaxed",
  "cell": [[6.998, -1.304, 0.000], [6.998, 1.304, 0.000], [-1.136, 0.000, 4.332]],
  "species": ["B", "B", "B", "B", "B", "B", "C", "C", "C", "C", "C", "C"],
  "frac_coords": [[0.099, 0.099, 0.408], [0.230, 0.230, 0.626], [0.290, 0.290, 0.027], [0.710, 0.710, 0.973], [0.770, 0.770, 0.374], [0.901, 0.901, 0.592], [0.057, 0.057, 0.040], [0.406, 0.406, 0.094], [0.446, 0.446, 0.446], [0.554, 0.554, 0.554], [0.594, 0.594, 0.906], [0.943, 0.943, 0.960]],
  "ef_mev_per_atom": 450,
  "final_energy_ev_per_fu": -15.0,
  "sg": "No. 12",
  "density_g_cm3": 2.88,
  "crystal_system": "monoclinic"
}



(5)
{
  "formula": "B7C5",
  "functional": "PBE",
  "state": "relaxed",
  "cell": [[7.502, -1.302, 0.000], [7.502, 1.302, 0.000], [-1.301, 0.000, 4.275]],
  "species": ["B", "B", "B", "B", "B", "B", "B", "C", "C", "C", "C", "C"],
  "frac_coords": [[0.000, 0.000, 0.000], [0.118, 0.118, 0.099], [0.334, 0.334, 0.921], [0.507, 0.507, 0.382], [0.628, 0.628, 0.483], [0.682, 0.682, 0.946], [0.939, 0.939, 0.539], [0.186, 0.186, 0.470], [0.289, 0.289, 0.546], [0.443, 0.443, 0.005], [0.790, 0.790, 0.069], [0.828, 0.828, 0.425]],
  "ef_mev_per_atom": 494,
  "final_energy_ev_per_fu": -86.9,
  "sg": "No. 8",
  "density_g_cm3": 2.70,
  "crystal_system": "monoclinic"
}



(6)
{
  "formula": "BC",
  "functional": "PBE",
  "state": "relaxed",
  "cell": [[4.836, 0.000, 0.000], [0.000, 2.552, 0.000], [-0.133, 0.000, 6.669]],
  "species": ["B", "B", "B", "B", "B", "B", "C", "C", "C", "C", "C", "C"],
  "frac_coords": [[0.000, 0.000, 0.000], [0.048, 0.000, 0.335], [0.169, 0.500, 0.725], [0.491, 0.500, 0.062], [0.677, 0.000, 0.724], [0.813, 0.500, 0.395], [0.181, 0.500, 0.972], [0.359, 0.000, 0.623], [0.364, 0.000, 0.392], [0.506, 0.500, 0.308], [0.684, 0.000, 0.966], [0.856, 0.500, 0.628]],
  "ef_mev_per_atom": 418,
  "final_energy_ev_per_fu": -15.1,
  "sg": "No. 6",
  "density_g_cm3": 2.76,
  "crystal_system": "monoclinic"
}



(7)
{
  "formula": "B7C5",
  "functional": "PBE",
  "state": "relaxed",
  "cell": [[4.313, -1.875, 0.000], [4.313, 1.875, 0.000], [-1.722, 0.000, 5.221]],
  "species": ["B", "B", "B", "B", "B", "B", "B", "C", "C", "C", "C", "C"],
  "frac_coords": [[0.000, 0.000, 0.000], [0.288, 0.711, 0.300], [0.289, 0.712, 0.700], [0.374, 0.279, 0.676], [0.381, 0.253, 0.151], [0.721, 0.626, 0.324], [0.747, 0.619, 0.849], [0.600, 0.100, 0.426], [0.617, 0.048, 0.917], [0.900, 0.400, 0.574], [0.952, 0.383, 0.083], [0.992, 0.008, 0.500]],
  "ef_mev_per_atom": 472,
  "final_energy_ev_per_fu": -87.2,
  "sg": "No. 5",
  "density_g_cm3": 2.67,
  "crystal_system": "monoclinic"
}



(8)
{
  "formula": "B3C5",
  "functional": "PBE",
  "state": "relaxed",
  "cell": [[2.457, 0.000, 0.000], [0.000, 2.569, 0.000], [0.000, 0.000, 8.181]],
  "species": ["B", "B", "B", "C", "C", "C", "C", "C"],
  "frac_coords": [[0.000, 0.000, 0.000], [0.000, 0.500, 0.421], [0.500, 0.000, 0.168], [0.000, 0.000, 0.550], [0.000, 0.500, 0.877], [0.500, 0.000, 0.655], [0.500, 0.500, 0.286], [0.500, 0.500, 0.771]],
  "ef_mev_per_atom": 319,
  "final_energy_ev_per_fu": -63.6,
  "sg": "No. 25",
  "density_g_cm3": 2.97,
  "crystal_system": "orthorhombic"
}